Density functional theory data (PBE+U) for a geometry-optimized Li3Cr2Ni2O8 structure.

Geometry as CIF:
```
data_Li3Cr2Ni2O8
_chemical_formula_sum 'Li3 Cr2 Ni2 O8'
_symmetry_space_group_name_H-M 'P 1'
_symmetry_Int_Tables_number 1
_symmetry_space_group_name_Hall 'P 1'
_cell_length_a 5.813
_cell_length_b 5.813
_cell_length_c 5.840
_cell_angle_alpha 60.62
_cell_angle_beta 60.62
_cell_angle_gamma 60.91
loop_
_atom_site_label
_atom_site_fract_x
_atom_site_fract_y
_atom_site_fract_z
Li1 0.000 0.500 0.500
Li2 0.500 0.500 0.000
Li3 0.500 0.000 0.500
Cr1 0.500 0.000 0.000
Cr2 0.000 0.500 0.000
Ni1 0.000 0.000 0.500
Ni2 0.000 0.000 0.000
O1 0.770 0.214 0.774
O2 0.230 0.230 0.783
O3 0.214 0.770 0.774
O4 0.250 0.250 0.229
O5 0.750 0.750 0.771
O6 0.786 0.230 0.226
O7 0.770 0.770 0.217
O8 0.230 0.786 0.226
```

## Properties
- total magnetization (μB per atom) = 0.467
- symmetry = C2/m (12)
- total DFT energy (no corrections) (eV/atom) = -5.9244